DFT (SCAN) results for CaCoCl2 at its PBEsol-relaxed geometry.

```
data_CaCoCl2
_symmetry_space_group_name_H-M 'A m m 2'
_symmetry_Int_Tables_number 38
_symmetry_space_group_name_Hall 'A 2 -2'
_cell_length_a 3.961
_cell_length_b 3.667
_cell_length_c 10.671
_cell_angle_alpha 90.00
_cell_angle_beta 90.00
_cell_angle_gamma 90.00
loop_
_atom_site_label
_atom_site_fract_x
_atom_site_fract_y
_atom_site_fract_z
_atom_site_occupancy
Ca1 0.000 0.000 0.000 1
Co1 0.500 0.000 0.627 1
Cl1 0.000 0.000 0.702 1
Cl2 0.500 0.000 0.415 1
```

Properties
Crystal system: orthorhombic
Energy above the lowest structure with this stoichiometry, kJ per mole of atoms: 0.0
ρ, g cm⁻³: 3.6


DFT (SCAN) results for Cu3PSe2S2 at its PBEsol-relaxed geometry.

```
data_Cu3PSe2S2
_symmetry_space_group_name_H-M 'P m n 21'
_symmetry_Int_Tables_number 31
_symmetry_space_group_name_Hall 'P 2ac -2'
_cell_length_a 7.290
_cell_length_b 6.466
_cell_length_c 6.187
_cell_angle_alpha 90.00
_cell_angle_beta 90.00
_cell_angle_gamma 90.00
loop_
_atom_site_label
_atom_site_fract_x
_atom_site_fract_y
_atom_site_fract_z
_atom_site_occupancy
Cu1 0.000 0.174 0.000 1
Cu2 0.246 0.339 0.542 1
P1 0.000 0.818 0.511 1
Se1 0.000 0.145 0.387 1
Se2 0.000 0.826 0.876 1
S1 0.237 0.659 0.401 1
```

Properties
Crystal system: orthorhombic
ρ, g cm⁻³: 5.1


Total moment for every record listed, in sequence, given in μB per atom: 0.26 0.00.
Energy relative to the elements, uncorrected for every record listed, in sequence, given in eV per atom: -1.12 -0.25.